Material: AcCr2HgO8
Method: DFT, PBE with a Hubbard U
State: relaxed

```
data_AcCr2HgO8
_symmetry_space_group_name_H-M 'P 1'
_symmetry_Int_Tables_number 1
_cell_length_a 6.330
_cell_length_b 6.330
_cell_length_c 6.330
_cell_angle_alpha 105.71
_cell_angle_beta 105.71
_cell_angle_gamma 117.29
loop_
_symmetry_equiv_pos_as_xyz
'x,y,z'
loop_
_atom_site_label
_atom_site_type_symbol
_atom_site_fract_x
_atom_site_fract_y
_atom_site_fract_z
Hg1 Hg 0.250 0.750 0.500
O1 O 0.910 0.233 0.323
O2 O 0.767 0.090 0.677
Ac1 Ac 0.000 0.000 0.000
O3 O 0.344 0.515 0.172
O4 O 0.485 0.656 0.828
Cr1 Cr 0.750 0.250 0.500
O5 O 0.344 0.172 0.828
O6 O 0.910 0.587 0.677
Cr2 Cr 0.500 0.500 0.000
O7 O 0.413 0.090 0.323
O8 O 0.828 0.656 0.172
```

Computed properties:
E = -6.499 eV per atom
SG = No. 119
Volume = 192.5 Å³ per cell
Magnetization = 1.02 μB per formula unit